No. 1
This record from Alexandria via LeMat-Bulk describes a relaxed structure of CsBi2Pb8. The functional is PBE.

Cell: 6.7889 6.7889 11.9984 Å, 102.85 102.85 55.58°
Closest atoms and distances in Å follow each position.
Atoms (fractional coordinates):
Cs  0.0000  0.0000  0.0000  12 Pb 4.09-4.27
Bi  0.4145  0.4145  0.6659  8 Pb 3.16-3.53
Bi  0.5855  0.5855  0.3341  8 Pb 3.16-3.53
Pb  0.0950  0.5971  0.3977  4 Pb 3.15-3.43, 2 Bi 3.41-3.50
Pb  0.2760  0.2760  0.8580  1 Bi 3.16, 5 Pb 3.37-3.48
Pb  0.3459  0.3459  0.1480  1 Bi 3.17, 5 Pb 3.37-3.48
Pb  0.4029  0.9050  0.6023  4 Pb 3.15-3.43, 2 Bi 3.41-3.50
Pb  0.5971  0.0950  0.3977  4 Pb 3.15-3.43, 2 Bi 3.41-3.50
Pb  0.6541  0.6541  0.8520  1 Bi 3.17, 5 Pb 3.37-3.48
Pb  0.7240  0.7240  0.1420  1 Bi 3.16, 5 Pb 3.37-3.48
Pb  0.9050  0.4029  0.6023  4 Pb 3.15-3.43, 2 Bi 3.41-3.50

## Properties
energy of formation = 0.06 eV/atom
ρ = 8.31 Mg/m³
crystal system = monoclinic
excess energy over the best structure of this formula in the dataset = 0.0 kJ per mole of atoms
space-group type = No. 12


No. 2
This record from Alexandria via LeMat-Bulk describes a relaxed structure of Cs2Bi5Pb3. The functional is PBE.

Cell: 11.0128 11.0128 11.0128 Å, 106.39 89.64 136.40°
Closest atoms and distances in Å follow each position.
Atoms (fractional coordinates):
Cs  0.1258  0.2494  0.3752  10 Bi 4.22-4.44, 6 Pb 4.24-4.42
Cs  0.3742  0.7494  0.1235  10 Bi 4.22-4.44, 6 Pb 4.24-4.42
Cs  0.6258  0.2506  0.8765  10 Bi 4.22-4.44, 6 Pb 4.24-4.42
Cs  0.8742  0.7506  0.6248  10 Bi 4.22-4.44, 6 Pb 4.24-4.42
Bi  0.0028  0.7500  0.2528  2 Bi 3.22, 2 Pb 3.26
Bi  0.1284  0.8824  0.0107  2 Bi 3.22, 3 Pb 3.26-3.41
Bi  0.2500  0.7500  0.5000  4 Pb 3.25
Bi  0.3716  0.3824  0.7540  2 Bi 3.22, 3 Pb 3.26-3.41
Bi  0.4972  0.7500  0.7472  2 Bi 3.22, 2 Pb 3.26
Bi  0.5028  0.2500  0.2528  2 Bi 3.22, 2 Pb 3.26
Bi  0.6284  0.6176  0.2460  2 Bi 3.22, 3 Pb 3.26-3.41
Bi  0.7500  0.2500  0.5000  4 Pb 3.25
Bi  0.8716  0.1176  0.9893  2 Bi 3.22, 3 Pb 3.26-3.41
Bi  0.9972  0.2500  0.7472  2 Bi 3.22, 2 Pb 3.26
Pb  0.1233  0.6237  0.7470  5 Bi 3.25-3.41
Pb  0.2500  0.2500  0.0000  4 Bi 3.26
Pb  0.3767  0.1237  0.5004  5 Bi 3.25-3.41
Pb  0.6233  0.8763  0.4996  5 Bi 3.25-3.41
Pb  0.7500  0.7500  0.0000  4 Bi 3.26
Pb  0.8767  0.3763  0.2530  5 Bi 3.25-3.41

## Properties
energy of formation = -0.17 eV/atom
ρ = 7.61 Mg/m³
crystal system = orthorhombic
space-group type = No. 72


No. 3
This record from Alexandria via LeMat-Bulk describes a relaxed structure of CsBi2Pb6. The functional is PBE.

Cell: 5.1380 5.1380 12.4041 Å, 90.00 90.00 90.00°
Closest atoms and distances in Å follow each position.
Atoms (fractional coordinates):
Cs  0.0000  0.0000  0.0000  8 Bi 3.98
Bi  0.5000  0.5000  0.1308  1 Bi 3.24, 4 Pb 3.33
Bi  0.5000  0.5000  0.8692  1 Bi 3.24, 4 Pb 3.33
Pb  0.0000  0.0000  0.5000  12 Pb 3.56-3.63
Pb  0.0000  0.5000  0.3012  2 Bi 3.33, 8 Pb 3.56-3.63
Pb  0.0000  0.5000  0.6988  2 Bi 3.33, 8 Pb 3.56-3.63
Pb  0.5000  0.0000  0.3012  2 Bi 3.33, 8 Pb 3.56-3.63
Pb  0.5000  0.0000  0.6988  2 Bi 3.33, 8 Pb 3.56-3.63
Pb  0.5000  0.5000  0.5000  12 Pb 3.56-3.63

## Properties
energy of formation = -0.09 eV/atom
ρ = 9.10 Mg/m³
crystal system = tetragonal
space-group type = No. 123


No. 4
This record from Alexandria via LeMat-Bulk describes a relaxed structure of CsBi2Pb. The functional is PBE.

Cell: 11.1777 11.1777 11.1777 Å, 21.09 21.09 21.09°
Closest atoms and distances in Å follow each position.
Atoms (fractional coordinates):
Cs  0.0000  0.0000  0.0000  6 Bi 3.95-3.98, 6 Cs 4.09
Bi  0.2357  0.2357  0.2357  3 Pb 3.28
Bi  0.4301  0.4301  0.4301  3 Pb 3.28
Pb  0.8328  0.8328  0.8328  6 Bi 3.28

## Properties
energy of formation = 0.04 eV/atom
ρ = 7.95 Mg/m³
crystal system = trigonal
space-group type = No. 160


No. 5
This record from Alexandria via LeMat-Bulk describes a relaxed structure of Cs3Bi4Pb7. The functional is PBE.

Cell: 10.3139 10.3139 12.5208 Å, 126.52 126.52 31.54°
Closest atoms and distances in Å follow each position.
Atoms (fractional coordinates):
Cs  0.0000  0.0000  0.0000  6 Bi 4.03-4.07, 6 Pb 4.27-4.29
Cs  0.2913  0.2913  0.2892  10 Pb 3.90-4.32, 5 Bi 4.01-4.34
Cs  0.7087  0.7087  0.7108  10 Pb 3.90-4.32, 5 Bi 4.01-4.34
Bi  0.1294  0.1294  0.8486  6 Pb 3.27-3.51
Bi  0.3523  0.3523  0.7082  4 Pb 3.19-3.30
Bi  0.6477  0.6477  0.2918  4 Pb 3.19-3.30
Bi  0.8706  0.8706  0.1514  6 Pb 3.27-3.51
Pb  0.0000  0.0000  0.5000  2 Bi 3.43, 6 Pb 3.57
Pb  0.1512  0.1512  0.4340  3 Bi 3.28-3.30, 1 Pb 3.57
Pb  0.3336  0.3336  0.9894  3 Bi 3.27, 1 Pb 3.37
Pb  0.4994  0.4994  0.6755  3 Bi 3.19-3.51, 3 Pb 3.37-3.57
Pb  0.5006  0.5006  0.3245  3 Bi 3.19-3.51, 3 Pb 3.37-3.57
Pb  0.6664  0.6664  0.0106  3 Bi 3.27, 1 Pb 3.37
Pb  0.8488  0.8488  0.5660  3 Bi 3.28-3.30, 1 Pb 3.57

## Properties
energy of formation = -0.16 eV/atom
ρ = 8.14 Mg/m³
crystal system = monoclinic
space-group type = No. 12


No. 6
This record from Alexandria via LeMat-Bulk describes a relaxed structure of CsBi3Pb3. The functional is PBE.

Cell: 10.4580 10.4580 10.4580 Å, 52.66 52.66 52.66°
Closest atoms and distances in Å follow each position.
Atoms (fractional coordinates):
Cs  0.1669  0.1669  0.1669  6 Bi 3.99
Cs  0.8331  0.8331  0.8331  6 Bi 3.99
Bi  0.0790  0.7363  0.4065  4 Pb 3.12-3.23
Bi  0.2637  0.5935  0.9210  4 Pb 3.12-3.23
Bi  0.4065  0.0790  0.7363  4 Pb 3.12-3.23
Bi  0.5935  0.9210  0.2637  4 Pb 3.12-3.23
Bi  0.7363  0.4065  0.0790  4 Pb 3.12-3.23
Bi  0.9210  0.2637  0.5935  4 Pb 3.12-3.23
Pb  0.0391  0.3754  0.7113  4 Bi 3.12-3.23
Pb  0.2887  0.9609  0.6246  4 Bi 3.12-3.23
Pb  0.3754  0.7113  0.0391  4 Bi 3.12-3.23
Pb  0.6246  0.2887  0.9609  4 Bi 3.12-3.23
Pb  0.7113  0.0391  0.3754  4 Bi 3.12-3.23
Pb  0.9609  0.6246  0.2887  4 Bi 3.12-3.23

## Properties
energy of formation = -0.07 eV/atom
ρ = 6.85 Mg/m³
crystal system = trigonal
excess energy over the best structure of this formula in the dataset = 0.0 kJ per mole of atoms
space-group type = No. 148